This record from Alexandria describes a relaxed structure of Li4Cr2F9. The functional is GGA+U.

Values from the calculation:
As for the density of states at the Fermi level: 0.000 states/eV/f.u. Its space group is P-1, No. 2. The total energy comes out at -0.1992 Ha/atom. The value obtained for the size of the total moment is 14.0 μB per cell.

Cell lengths 4.991, 5.290, 14.050 Å; angles 87.43, 89.86, 62.79 degrees
Element x y z (fractional)
Li (0.168, 0.194, 0.025)
Li (0.172, 0.152, 0.509)
Li (0.181, 0.120, 0.302)
Li (0.189, 0.128, 0.819)
Li (0.811, 0.872, 0.181)
Li (0.819, 0.880, 0.698)
Li (0.828, 0.848, 0.491)
Li (0.832, 0.806, 0.975)
Cr (0.424, 0.486, 0.616)
Cr (0.496, 0.509, 0.156)
Cr (0.504, 0.491, 0.844)
Cr (0.576, 0.514, 0.384)
F (0.108, 0.887, 0.599)
F (0.163, 0.536, 0.079)
F (0.185, 0.806, 0.908)
F (0.199, 0.794, 0.235)
F (0.204, 0.489, 0.748)
F (0.230, 0.500, 0.456)
F (0.464, 0.920, 0.405)
F (0.465, 0.181, 0.916)
F (0.475, 0.209, 0.235)
F (0.525, 0.791, 0.765)
F (0.535, 0.819, 0.084)
F (0.536, 0.080, 0.595)
F (0.770, 0.500, 0.544)
F (0.796, 0.511, 0.252)
F (0.801, 0.206, 0.765)
F (0.815, 0.194, 0.092)
F (0.837, 0.464, 0.921)
F (0.892, 0.113, 0.401)